<i>
The following is a GGA-PBE calculation of a relaxed TlOsCl2 crystal, from the Alexandria database.

CIF file:
```
data_TlOsCl2
_space_group_name_H-M_alt 'P 1'
_space_group_IT_number 1
_cell_length_a 6.363
_cell_length_b 6.363
_cell_length_c 6.363
_cell_angle_alpha 142.61
_cell_angle_beta 142.61
_cell_angle_gamma 53.91
loop_
_space_group_symop_operation_xyz
'x,y,z'
loop_
_atom_site_label
_atom_site_type_symbol
_atom_site_fract_x
_atom_site_fract_y
_atom_site_fract_z
Tl1 Tl 0.000 0.000 0.000
Os1 Os 0.750 0.250 0.500
Cl1 Cl 0.250 0.750 0.500
Cl2 Cl 0.500 0.500 0.000
```

<ii>
The following is a GGA-PBE calculation of a relaxed TlOsCl2 crystal, from the Alexandria database.

CIF file:
```
data_TlOsCl2
_space_group_name_H-M_alt 'P 1'
_space_group_IT_number 1
_cell_length_a 10.001
_cell_length_b 10.001
_cell_length_c 10.001
_cell_angle_alpha 20.84
_cell_angle_beta 20.84
_cell_angle_gamma 20.84
loop_
_space_group_symop_operation_xyz
'x,y,z'
loop_
_atom_site_label
_atom_site_type_symbol
_atom_site_fract_x
_atom_site_fract_y
_atom_site_fract_z
Tl1 Tl 0.000 0.000 0.000
Os1 Os 0.500 0.500 0.500
Cl1 Cl 0.126 0.126 0.126
Cl2 Cl 0.874 0.874 0.874
```

<iii>
The following is a GGA-PBE calculation of a relaxed TlOsCl2 crystal, from the Alexandria database.

CIF file:
```
data_TlOsCl2
_space_group_name_H-M_alt 'P 1'
_space_group_IT_number 1
_cell_length_a 3.048
_cell_length_b 3.583
_cell_length_c 8.778
_cell_angle_alpha 90.00
_cell_angle_beta 90.50
_cell_angle_gamma 90.00
loop_
_space_group_symop_operation_xyz
'x,y,z'
loop_
_atom_site_label
_atom_site_type_symbol
_atom_site_fract_x
_atom_site_fract_y
_atom_site_fract_z
Tl1 Tl 0.000 0.000 0.000
Os1 Os 0.500 0.000 0.500
Cl1 Cl 0.496 0.500 0.328
Cl2 Cl 0.504 0.500 0.672
```

<iv>
The following is a GGA-PBE calculation of a relaxed TlOsCl2 crystal, from the Alexandria database.

CIF file:
```
data_TlOsCl2
_space_group_name_H-M_alt 'P 1'
_space_group_IT_number 1
_cell_length_a 3.193
_cell_length_b 3.193
_cell_length_c 8.945
_cell_angle_alpha 90.00
_cell_angle_beta 90.00
_cell_angle_gamma 90.00
loop_
_space_group_symop_operation_xyz
'x,y,z'
loop_
_atom_site_label
_atom_site_type_symbol
_atom_site_fract_x
_atom_site_fract_y
_atom_site_fract_z
Tl1 Tl 0.000 0.000 0.000
Os1 Os 0.000 0.000 0.500
Cl1 Cl 0.500 0.500 0.314
Cl2 Cl 0.500 0.500 0.686
```

<iii> is the most stable structure; the next one sits 49 meV/atom above it.

<i>
The following is a GGA-PBE calculation of a relaxed TlOsCl2 crystal, from the Alexandria database.

CIF file:
```
data_TlOsCl2
_space_group_name_H-M_alt 'P 1'
_space_group_IT_number 1
_cell_length_a 5.032
_cell_length_b 5.032
_cell_length_c 5.032
_cell_angle_alpha 60.00
_cell_angle_beta 60.00
_cell_angle_gamma 60.00
loop_
_space_group_symop_operation_xyz
'x,y,z'
loop_
_atom_site_label
_atom_site_type_symbol
_atom_site_fract_x
_atom_site_fract_y
_atom_site_fract_z
Tl1 Tl 0.000 0.000 0.000
Os1 Os 0.500 0.500 0.500
Cl1 Cl 0.250 0.250 0.250
Cl2 Cl 0.750 0.750 0.750
```

<ii>
The following is a GGA-PBE calculation of a relaxed TlOsCl2 crystal, from the Alexandria database.

CIF file:
```
data_TlOsCl2
_space_group_name_H-M_alt 'P 1'
_space_group_IT_number 1
_cell_length_a 8.361
_cell_length_b 8.361
_cell_length_c 8.361
_cell_angle_alpha 24.70
_cell_angle_beta 24.70
_cell_angle_gamma 24.70
loop_
_space_group_symop_operation_xyz
'x,y,z'
loop_
_atom_site_label
_atom_site_type_symbol
_atom_site_fract_x
_atom_site_fract_y
_atom_site_fract_z
Tl1 Tl 0.000 0.000 0.000
Os1 Os 0.250 0.250 0.250
Cl1 Cl 0.538 0.538 0.538
Cl2 Cl 0.747 0.747 0.747
```

<iii>
The following is a GGA-PBE calculation of a relaxed TlOsCl2 crystal, from the Alexandria database.

CIF file:
```
data_TlOsCl2
_space_group_name_H-M_alt 'P 1'
_space_group_IT_number 1
_cell_length_a 3.341
_cell_length_b 3.341
_cell_length_c 9.722
_cell_angle_alpha 90.00
_cell_angle_beta 90.00
_cell_angle_gamma 124.87
loop_
_space_group_symop_operation_xyz
'x,y,z'
loop_
_atom_site_label
_atom_site_type_symbol
_atom_site_fract_x
_atom_site_fract_y
_atom_site_fract_z
Tl1 Tl 0.000 0.000 0.000
Os1 Os 0.000 0.000 0.500
Cl1 Cl 0.500 0.500 0.313
Cl2 Cl 0.500 0.500 0.687
```

<iii> is the most stable structure; the next one sits 35 meV/atom above it.

<i>
The following is a GGA-PBE calculation of a relaxed TlOsCl2 crystal, from the Alexandria database.

CIF file:
```
data_TlOsCl2
_space_group_name_H-M_alt 'P 1'
_space_group_IT_number 1
_cell_length_a 10.224
_cell_length_b 10.224
_cell_length_c 10.224
_cell_angle_alpha 17.45
_cell_angle_beta 17.45
_cell_angle_gamma 17.45
loop_
_space_group_symop_operation_xyz
'x,y,z'
loop_
_atom_site_label
_atom_site_type_symbol
_atom_site_fract_x
_atom_site_fract_y
_atom_site_fract_z
Tl1 Tl 0.000 0.000 0.000
Os1 Os 0.500 0.500 0.500
Cl1 Cl 0.426 0.426 0.426
Cl2 Cl 0.574 0.574 0.574
```

<ii>
The following is a GGA-PBE calculation of a relaxed TlOsCl2 crystal, from the Alexandria database.

CIF file:
```
data_TlOsCl2
_space_group_name_H-M_alt 'P 1'
_space_group_IT_number 1
_cell_length_a 3.119
_cell_length_b 4.581
_cell_length_c 5.685
_cell_angle_alpha 90.00
_cell_angle_beta 90.00
_cell_angle_gamma 90.00
loop_
_space_group_symop_operation_xyz
'x,y,z'
loop_
_atom_site_label
_atom_site_type_symbol
_atom_site_fract_x
_atom_site_fract_y
_atom_site_fract_z
Tl1 Tl 0.000 0.000 0.000
Os1 Os 0.500 0.000 0.500
Cl1 Cl 0.000 0.500 0.500
Cl2 Cl 0.500 0.500 0.000
```

<iii>
The following is a GGA-PBE calculation of a relaxed TlOsCl2 crystal, from the Alexandria database.

CIF file:
```
data_TlOsCl2
_space_group_name_H-M_alt 'P 1'
_space_group_IT_number 1
_cell_length_a 7.819
_cell_length_b 7.819
_cell_length_c 7.819
_cell_angle_alpha 135.77
_cell_angle_beta 135.77
_cell_angle_gamma 64.34
loop_
_space_group_symop_operation_xyz
'x,y,z'
loop_
_atom_site_label
_atom_site_type_symbol
_atom_site_fract_x
_atom_site_fract_y
_atom_site_fract_z
Tl1 Tl 0.000 0.000 0.000
Tl2 Tl 0.750 0.250 0.500
Os1 Os 0.250 0.750 0.500
Os2 Os 0.500 0.500 0.000
Cl1 Cl 0.249 0.625 0.124
Cl2 Cl 0.375 0.499 0.624
Cl3 Cl 0.501 0.125 0.876
Cl4 Cl 0.875 0.751 0.376
```

<i> is the most stable structure; the next one sits 284 meV/atom above it.